A.
An optimized crystal structure of BiTeH2, computed with PBE-GGA.

extended XYZ file:
```
8
Lattice="4.652 0.000 0.000 0.000 4.652 0.000 2.326 2.326 6.820" Properties=species:S:1:pos:R:3 pbc="T T T"
H 4.032 1.163 1.705
H 0.619 3.489 1.705
H 3.489 2.945 5.115
H 5.815 6.358 5.115
Te 2.326 2.326 0.000
Te 2.326 4.652 3.410
Bi 0.000 0.000 0.000
Bi 4.652 2.326 3.410
```

B.
An optimized crystal structure of BiTeH2, computed with PBE-GGA.

extended XYZ file:
```
4
Lattice="6.130 -0.117 0.000 -3.060 3.125 0.000 0.000 0.000 6.640" Properties=species:S:1:pos:R:3 pbc="T T T"
Bi 3.188 -0.014 0.000
Te 0.114 0.047 0.000
H 1.581 1.827 3.320
H 1.785 1.103 3.320
```

C.
An optimized crystal structure of BiTeH2, computed with PBE-GGA.

extended XYZ file:
```
4
Lattice="1.580 -3.243 -2.725 2.815 -3.143 1.623 -1.419 -4.263 0.501" Properties=species:S:1:pos:R:3 pbc="T T T"
H 0.744 -2.662 -0.150
H 2.232 -7.987 -0.450
Te 0.000 0.000 0.000
Bi 1.488 -5.325 -0.300
```

Stability summary: most stable B, least stable C.

A.
An optimized crystal structure of BiTe3H, computed with PBE-GGA.

extended XYZ file:
```
5
Lattice="4.910 0.000 0.000 0.000 4.910 0.000 0.000 0.000 4.910" Properties=species:S:1:pos:R:3 pbc="T T T"
H 0.000 0.000 0.000
Te 0.000 2.455 0.000
Te 0.000 0.000 2.455
Te 2.455 0.000 0.000
Bi 2.455 2.455 2.455
```

B.
An optimized crystal structure of BiTe3H, computed with PBE-GGA.

extended XYZ file:
```
5
Lattice="-1.744 1.856 5.458 -0.813 -5.725 1.687 5.708 -0.249 1.908" Properties=species:S:1:pos:R:3 pbc="T T T"
H 1.575 -2.059 4.527
Te -0.407 -2.862 0.844
Te 2.854 -0.124 0.954
Te -0.872 0.928 2.729
Bi 0.000 0.000 0.000
```

Stability summary: most stable A, least stable B.

A.
An optimized crystal structure of BiTeH3, computed with PBE-GGA.

extended XYZ file:
```
5
Lattice="-2.835 -3.030 0.004 2.951 -2.760 0.946 -0.688 0.649 4.040" Properties=species:S:1:pos:R:3 pbc="T T T"
H 1.475 -1.380 0.473
H -0.344 0.324 2.020
H -1.417 -1.515 0.002
Te 0.000 0.000 0.000
Bi -0.286 -2.570 2.495
```

B.
An optimized crystal structure of BiTeH3, computed with PBE-GGA.

extended XYZ file:
```
5
Lattice="-2.056 -1.393 -3.424 3.333 -2.392 -1.028 -1.598 -3.198 2.260" Properties=species:S:1:pos:R:3 pbc="T T T"
H 1.667 -1.196 -0.514
H -0.799 -1.599 1.130
H -1.028 -0.696 -1.712
Te -0.160 -3.492 -1.096
Bi 0.000 0.000 0.000
```

Stability summary: most stable B, least stable A.

A.
An optimized crystal structure of Th2BiH, computed with PBE-GGA.

extended XYZ file:
```
4
Lattice="4.038 0.003 -0.007 0.000 4.038 -0.008 -2.030 -2.029 6.204" Properties=species:S:1:pos:R:3 pbc="T T T"
Th 2.449 1.081 3.214
Th 0.417 -0.951 5.805
Bi 0.428 3.097 1.407
H 0.430 1.067 4.510
```

B.
An optimized crystal structure of Th2BiH, computed with PBE-GGA.

extended XYZ file:
```
4
Lattice="-1.080 2.981 1.773 -2.806 1.940 -1.249 -6.652 -3.092 4.866" Properties=species:S:1:pos:R:3 pbc="T T T"
Th -5.671 -2.224 4.006
Th -2.271 0.779 1.029
Bi -5.266 0.917 2.692
H -2.601 3.271 0.359
```

Stability summary: most stable A, least stable B.

A.
An optimized crystal structure of Th3BiH3, computed with PBE-GGA.

extended XYZ file:
```
14
Lattice="-1.135 6.692 -1.427 -5.340 3.315 2.934 2.123 5.260 6.120" Properties=species:S:1:pos:R:3 pbc="T T T"
Th -2.808 4.978 3.231
Th -1.556 8.238 1.161
Th -4.820 8.488 3.562
Th 0.469 6.778 4.065
Th -2.795 7.028 6.466
Th -1.543 10.288 4.396
Bi -2.124 3.351 0.548
Bi -2.227 11.915 7.080
H -3.464 9.034 5.385
H -0.238 8.908 2.970
H -1.385 5.604 4.976
H -2.966 9.662 2.651
H -4.114 6.358 4.658
H -0.887 6.232 2.242
```

B.
An optimized crystal structure of Th3BiH3, computed with PBE-GGA.

extended XYZ file:
```
14
Lattice="-3.728 -4.957 2.005 4.336 -4.233 -2.403 3.129 -0.040 5.718" Properties=species:S:1:pos:R:3 pbc="T T T"
H 0.632 -1.259 3.360
H 2.950 -2.126 0.228
H 1.388 -5.653 -0.799
H -1.232 -3.738 4.363
H 4.515 -2.147 3.088
H -0.780 -3.537 0.402
Bi 1.869 -4.615 2.660
Bi 0.000 0.000 0.000
Th 2.649 -1.078 2.259
Th 4.817 -3.195 1.057
Th 0.483 -2.509 5.291
Th -0.628 -5.834 0.302
Th -1.082 -2.489 2.432
Th 1.236 -3.356 -0.700
```

Stability summary: most stable B, least stable A.

A.
An optimized crystal structure of ThBiH2, computed with PBE-GGA.

extended XYZ file:
```
8
Lattice="3.902 0.000 0.000 -1.951 6.038 0.000 0.000 0.000 6.456" Properties=species:S:1:pos:R:3 pbc="T T T"
Th 0.000 2.584 1.614
Th 1.951 3.453 4.842
Bi 1.951 5.348 1.614
Bi 0.000 0.690 4.842
H 0.000 3.672 6.051
H 1.951 2.365 0.404
H 1.951 2.365 2.823
H 0.000 3.672 3.632
```

B.
An optimized crystal structure of ThBiH2, computed with PBE-GGA.

extended XYZ file:
```
8
Lattice="-1.052 2.205 -2.921 1.090 -4.332 -3.663 -6.025 -2.045 0.625" Properties=species:S:1:pos:R:3 pbc="T T T"
Th -2.874 -2.561 -3.380
Th 0.426 -1.692 -1.430
Bi 0.456 -2.800 -4.760
Bi -2.905 -1.452 -0.050
H -3.549 -4.024 -1.759
H -4.924 -2.274 -2.426
H -1.169 -3.216 -2.006
H -1.279 -1.037 -2.804
```

Stability summary: most stable B, least stable A.

A.
An optimized crystal structure of TiBiH, computed with PBE-GGA.

extended XYZ file:
```
12
Lattice="-3.760 -2.768 -2.297 3.032 0.692 -5.795 2.876 -4.689 0.944" Properties=species:S:1:pos:R:3 pbc="T T T"
H 0.394 -1.140 -2.216
H -0.390 -4.947 -2.240
H 2.538 -1.818 -4.908
H 1.754 -5.625 -4.932
Bi 1.426 -3.650 -0.882
Bi -1.344 -2.564 -3.550
Bi 3.492 -4.201 -3.599
Bi 0.722 -3.115 -6.267
Ti -0.437 -1.386 -0.561
Ti 1.647 -1.966 -3.273
Ti 0.501 -4.800 -3.876
Ti 2.585 -5.379 -6.587
```

B.
An optimized crystal structure of TiBiH, computed with PBE-GGA.

extended XYZ file:
```
3
Lattice="-1.580 3.628 -0.824 -1.651 -1.379 -2.908 -1.679 -0.004 3.204" Properties=species:S:1:pos:R:3 pbc="T T T"
H -0.264 0.606 -0.137
Bi -2.713 1.497 -1.420
Ti -1.933 0.142 1.030
```

Stability summary: most stable B, least stable A.

A.
An optimized crystal structure of TiBiH, computed with PBE-GGA.

extended XYZ file:
```
6
Lattice="3.537 0.000 0.000 0.000 3.537 -0.001 0.003 0.000 8.229" Properties=species:S:1:pos:R:3 pbc="T T T"
Ti 2.655 0.884 3.399
Ti 0.886 2.653 4.829
Bi 0.886 2.652 1.602
Bi 2.655 0.885 6.626
H 0.886 0.884 4.114
H 2.655 2.653 4.113
```

B.
An optimized crystal structure of TiBiH, computed with PBE-GGA.

extended XYZ file:
```
6
Lattice="-0.705 3.182 0.023 -2.705 0.816 -1.625 -6.431 -0.593 8.655" Properties=species:S:1:pos:R:3 pbc="T T T"
Ti -3.370 0.711 3.069
Ti -6.471 2.694 3.984
Bi -3.315 2.427 0.539
Bi -6.526 0.979 6.514
H -4.103 0.167 4.739
H -5.738 3.239 2.314
```

Stability summary: most stable A, least stable B.